# NaNiHg2O PBE+U relaxed
data_NaNiHg2O
_chemical_formula_sum 'Na1 Ni1 Hg2 O1'
_cell_length_a 5.4430
_cell_length_b 5.4430
_cell_length_c 4.0541
_cell_angle_alpha 90.00
_cell_angle_beta 90.00
_cell_angle_gamma 90.00
_symmetry_space_group_name_H-M 'P 4/m m m'
_symmetry_Int_Tables_number 123
_symmetry_space_group_name_Hall '-P 4 2'
loop_
_atom_site_label
_atom_site_fract_x
_atom_site_fract_y
_atom_site_fract_z
Na1 0.0000 0.0000 0.0000
Ni1 0.5000 0.5000 0.5000
Hg1 0.0000 0.5000 0.0000
O1 0.0000 0.0000 0.5000
# * magnetization: 0.4435 μB per atom
# * Fermi-level density of states: 5.48 states/eV/cell
# * density: 6.9 g/cm3
# * total DFT energy (no corrections): -6.2 eV for the cell shown